Record 1
{
  "formula": "KSbPt",
  "functional": "PBEsol",
  "state": "relaxed",
  "polymorph_energy_mev_per_atom": 9,
  "e_form_raw_mev_per_atom": -325,
  "spacegroup": "P-6m2 (187)",
  "lattice": [[4.4152, 0.0000, 0.0000], [-2.2076, 3.8236, 0.0000], [0.0000, 0.0000, 5.2238]],
  "species": ["K", "Sb", "Pt"],
  "fractional_positions": [[0.0000, 0.0000, 0.0000], [0.6667, 0.3333, 0.5000], [0.3333, 0.6667, 0.5000]]
}

=====

Record 2
{
  "formula": "KSbPt3",
  "functional": "PBEsol",
  "state": "relaxed",
  "e_form_raw_mev_per_atom": 465,
  "spacegroup": "Pm-3m (221)",
  "lattice": [[4.9875, 0.0000, 0.0000], [0.0000, 4.9875, 0.0000], [0.0000, 0.0000, 4.9875]],
  "species": ["K", "Sb", "Pt", "Pt", "Pt"],
  "fractional_positions": [[0.0000, 0.0000, 0.0000], [0.5000, 0.5000, 0.5000], [0.0000, 0.5000, 0.5000], [0.5000, 0.0000, 0.5000], [0.5000, 0.5000, 0.0000]]
}